A plane-wave DFT calculation with GGA-PBE was carried out for a relaxed structure of KAlPb2.

Its density of states at the Fermi level is 2.4 states/eV/cell. The spin magnetization comes out at 0.00 μB per formula unit. The crystal system is orthorhombic. As for the electronic total energy: -3.0004 eV/atom.

Structure (CIF):
```
data_KAlPb2
_cell_length_a 8.1436
_cell_length_b 8.1436
_cell_length_c 8.1436
_cell_angle_alpha 150.53
_cell_angle_beta 148.92
_cell_angle_gamma 43.36
_space_group_name_H-M_alt 'P 1'
_space_group_IT_number 1
_space_group_name_Hall 'P 1'
loop_
_atom_site_label
_atom_site_fract_x
_atom_site_fract_y
_atom_site_fract_z
K1 0.0000 0.0000 0.0000
Al1 0.7791 0.2791 0.5000
Pb1 0.3034 0.8034 0.5000
Pb2 0.6408 0.6408 0.0000
```